A relaxed structure of YCrBr2. Source: Alexandria via LeMat-Bulk, functional GGA-PBE.

a b c (Å): 3.9552 3.9552 27.7594
angles (deg): 90.00 90.00 120.00
Space group R3m (No. 160, hexagonal axes)
Inequivalent atoms, fractional coordinates:
1 Y 0.0000 0.0000 0.0000 [3 per cell]
2 Cr 0.0000 0.0000 0.7450 [3 per cell]
3 Br 0.0000 0.0000 0.2664 [3 per cell]
4 Br 0.0000 0.0000 0.4632 [3 per cell]

D(E_F): 1.40 states/eV per cell
formation energy from raw total energies: -0.580 eV per atom
offset from the most stable computed form: 0.0 kJ per mole of atoms
calculated volume: 31.34 Å³/atom
total magnetization: 5.0 μB/f.u.